Crystalline KPRh3 at its relaxed geometry. Source: the Alexandria database, functional PBE.

abc: 4.6924 4.6924 4.6924
angles: 90.00 90.00 90.00
Closest atoms and distances in Å follow each position.
Positions (direct):
Rh1 0.0000 0.5000 0.0000  2 K 2.35
Rh2 0.0000 0.0000 0.5000  2 K 2.35
Rh3 0.5000 0.0000 0.0000  2 K 2.35
K1 0.0000 0.0000 0.0000  6 Rh 2.35
P1 0.5000 0.5000 0.5000  12 Rh 3.32

The calculation puts the energy relative to the lowest polymorph listed for this composition at 229.27 kJ/mol of atoms. Its magnetic moment is 1.50 μB per formula unit. The crystal system is cubic. The electronic total energy is -3.3222 eV/atom. Its formation energy from the elements is 2.390 eV/atom.

=====

Crystalline KCuSnI5 at its relaxed geometry. Source: the Alexandria database, functional PBE.

abc: 8.2921 8.2921 11.4382
angles: 104.02 104.02 106.27
Closest atoms and distances in Å follow each position.
Positions (direct):
I1 0.3230 0.8969 0.6111  1 Cu 2.60
I2 0.0804 0.9196 0.2500  2 Sn 3.05
I3 0.7500 0.6121 0.4264  1 Cu 2.64
I4 0.1031 0.6770 0.8889  1 Cu 2.60
I5 0.6770 0.1031 0.3889  1 Cu 2.60
I6 0.9196 0.0804 0.7500  2 Sn 3.05
I7 0.8969 0.3230 0.1111  1 Cu 2.60
I8 0.3879 0.2500 0.0736  1 Cu 2.64
I9 0.6121 0.7500 0.9264  1 Cu 2.64
I10 0.2500 0.3879 0.5736  1 Cu 2.64
K1 0.6506 0.3494 0.7500  5 I 3.57-3.65
K2 0.3494 0.6506 0.2500  5 I 3.57-3.65
Cu1 0.3096 0.6904 0.7500  4 I 2.60-2.64
Cu2 0.6904 0.3096 0.2500  4 I 2.60-2.64
Sn1 0.0000 0.0000 0.5000  6 I 3.05-3.11
Sn2 0.0000 0.0000 0.0000  6 I 3.05-3.11

Its magnetic moment is 0.00 μB per formula unit. The crystal system is monoclinic. The electronic total energy is -2.7016 eV/atom. For the uncorrected formation energy, the calculation gives -0.583 eV per atom.

=====

Crystalline CsAg2Au2 at its relaxed geometry. Source: the Alexandria database, functional PBE.

abc: 5.0588 5.0588 6.4810
angles: 67.03 67.03 90.00
Closest atoms and distances in Å follow each position.
Positions (direct):
Cs1 0.0000 0.0000 0.0000  8 Au 3.70, 10 Ag 3.87-3.93
Ag1 0.6367 0.6367 0.7266  4 Au 2.81, 1 Ag 2.96
Ag2 0.3633 0.3633 0.2734  4 Au 2.81, 1 Ag 2.96
Au1 0.7500 0.2500 0.5000  4 Ag 2.81
Au2 0.2500 0.7500 0.5000  4 Ag 2.81

The calculation puts the energy relative to the lowest polymorph listed for this composition at 5.87 kJ/mol of atoms. Its magnetic moment is 0.00 μB per formula unit. The crystal system is tetragonal. The electronic total energy is -2.5638 eV/atom. Its formation energy from the elements is 0.058 eV/atom.

=====

Crystalline K2LiOs3O12 at its relaxed geometry. Source: the Alexandria database, functional PBE.

abc: 7.3096 7.3096 7.3096
angles: 59.59 59.59 59.59
Closest atoms and distances in Å follow each position.
Positions (direct):
O1 0.3223 0.9460 0.9460  1 Os 1.79
O2 0.9460 0.9460 0.3223  1 Os 1.79
O3 0.9460 0.3223 0.9460  1 Os 1.79
O4 0.9307 0.3197 0.3197  2 Os 1.95
O5 0.6777 0.0540 0.0540  1 Os 1.79
O6 0.0540 0.6777 0.0540  1 Os 1.79
O7 0.6803 0.6803 0.0693  2 Os 1.95
O8 0.0540 0.0540 0.6777  1 Os 1.79
O9 0.3197 0.9307 0.3197  2 Os 1.95
O10 0.0693 0.6803 0.6803  2 Os 1.95
O11 0.6803 0.0693 0.6803  2 Os 1.95
O12 0.3197 0.3197 0.9307  2 Os 1.95
Os1 0.0000 0.5000 0.0000  6 O 1.79-1.95
Os2 0.5000 0.0000 0.0000  6 O 1.79-1.95
Os3 0.0000 0.0000 0.5000  6 O 1.79-1.95
K1 0.6143 0.6143 0.6143  3 O 3.04
K2 0.3857 0.3857 0.3857  3 O 3.04
Li1 0.0000 0.0000 0.0000  6 O 2.03

Its magnetic moment is 0.00 μB per formula unit. The crystal system is trigonal. The electronic total energy is -6.6209 eV/atom. For the uncorrected formation energy, the calculation gives -1.216 eV per atom.

=====

Crystalline Fe3W4 at its relaxed geometry. Source: the Alexandria database, functional PBE.

abc: 4.7663 4.7663 4.9028
angles: 90.00 90.00 60.00
Closest atoms and distances in Å follow each position.
Positions (direct):
W1 0.3333 0.3333 0.5000  9 W 2.75-3.01, 6 Fe 2.81
W2 0.0000 0.0000 0.7485  2 W 2.44-2.47, 6 Fe 2.68
W3 0.0000 0.0000 0.2515  2 W 2.44-2.47, 6 Fe 2.68
W4 0.6667 0.6667 0.5000  9 W 2.75-3.01, 6 Fe 2.81
Fe1 0.5000 0.0000 0.0000  4 Fe 2.38
Fe2 0.5000 0.5000 0.0000  4 Fe 2.38
Fe3 0.0000 0.5000 0.0000  4 Fe 2.38

The calculation puts the energy relative to the lowest polymorph listed for this composition at 0.00 kJ/mol of atoms. Its magnetic moment is 2.78 μB per formula unit. The crystal system is hexagonal. The electronic total energy is -10.9948 eV/atom. Its formation energy from the elements is 0.034 eV/atom.

=====

Crystalline AgRh2Cl at its relaxed geometry. Source: the Alexandria database, functional PBE.

abc: 2.8516 4.8756 4.6681
angles: 90.00 90.00 90.00
Closest atoms and distances in Å follow each position.
Positions (direct):
Rh1 0.5000 0.5000 0.0000  4 Cl 2.74, 6 Rh 2.82-2.85
Rh2 0.0000 0.0000 0.0000  4 Ag 2.74, 6 Rh 2.82-2.85
Ag1 0.5000 0.0000 0.5000  4 Rh 2.74, 4 Cl 2.82, 2 Ag 2.85
Cl1 0.0000 0.5000 0.5000  4 Rh 2.74, 4 Ag 2.82, 2 Cl 2.85

The calculation puts the energy relative to the lowest polymorph listed for this composition at 36.32 kJ/mol of atoms. Its magnetic moment is 0.00 μB per formula unit. The crystal system is orthorhombic. The electronic total energy is -4.2947 eV/atom. For the uncorrected formation energy, the calculation gives 0.555 eV per atom.

=====

Crystalline SrLiCaRh at its relaxed geometry. Source: the Alexandria database, functional PBE.

abc: 5.2015 5.2015 5.2015
angles: 60.00 60.00 60.00
Closest atoms and distances in Å follow each position.
Positions (direct):
Rh1 0.5000 0.5000 0.5000  4 Ca 3.19, 4 Sr 3.19
Ca1 0.7500 0.7500 0.7500  4 Li 3.19, 4 Rh 3.19
Li1 0.0000 0.0000 0.0000  4 Ca 3.19, 4 Sr 3.19
Sr1 0.2500 0.2500 0.2500  4 Li 3.19, 4 Rh 3.19

The calculation puts the energy relative to the lowest polymorph listed for this composition at 2.54 kJ/mol of atoms. Its magnetic moment is 0.00 μB per formula unit. The crystal system is cubic. The electronic total energy is -3.3914 eV/atom. Its formation energy from the elements is -0.154 eV/atom.

=====

Crystalline Sr2Zn3Sn4Pd at its relaxed geometry. Source: the Alexandria database, functional PBE.

abc: 4.6786 4.6786 11.2824
angles: 90.00 90.00 90.00
Closest atoms and distances in Å follow each position.
Positions (direct):
Sn1 0.0000 0.5000 0.3750  3 Zn 2.65-2.73, 2 Pd 2.73
Sn2 0.5000 0.0000 0.6250  3 Zn 2.65-2.73, 2 Pd 2.73
Sn3 0.5000 0.5000 0.0000  4 Zn 2.82
Sn4 0.0000 0.0000 0.0000  4 Zn 2.82
Pd1 0.5000 0.5000 0.5000  4 Sn 2.73
Zn1 0.5000 0.0000 0.8597  5 Sn 2.65-2.82
Zn2 0.0000 0.0000 0.5000  4 Sn 2.73
Zn3 0.0000 0.5000 0.1403  5 Sn 2.65-2.82
Sr1 0.5000 0.0000 0.2605  8 Sn 3.55-3.76, 2 Pd 3.57, 6 Zn 3.57-3.58
Sr2 0.0000 0.5000 0.7395  8 Sn 3.55-3.76, 2 Pd 3.57, 6 Zn 3.57-3.58

Its magnetic moment is 0.00 μB per formula unit. The crystal system is tetragonal. The electronic total energy is -3.2779 eV/atom. Its formation energy from the elements is -0.439 eV/atom.

=====

Crystalline KNbF2 at its relaxed geometry. Source: the Alexandria database, functional PBE.

abc: 7.8089 7.8089 7.8089
angles: 23.79 23.79 23.79
Closest atoms and distances in Å follow each position.
Positions (direct):
K1 0.5000 0.5000 0.5000  6 F 2.52
Nb1 0.0000 0.0000 0.0000  2 F 2.08
F1 0.9085 0.9085 0.9085  1 Nb 2.08
F2 0.0915 0.0915 0.0915  1 Nb 2.08

The calculation puts the energy relative to the lowest polymorph listed for this composition at 0.00 kJ/mol of atoms. Its magnetic moment is 0.95 μB per formula unit. The crystal system is trigonal. The electronic total energy is -5.5496 eV/atom. For the uncorrected formation energy, the calculation gives -1.822 eV per atom.

=====

Crystalline Na2Tl2In4Hg at its relaxed geometry. Source: the Alexandria database, functional PBE.

abc: 7.3313 7.3313 7.3313
angles: 84.77 123.07 123.07
Closest atoms and distances in Å follow each position.
Positions (direct):
Na1 0.0000 0.7324 0.7324  1 Hg 2.90
Na2 0.0000 0.2676 0.2676  1 Hg 2.90
Tl1 0.5000 0.7500 0.2500  4 Na 3.50, 8 In 3.68
Tl2 0.5000 0.2500 0.7500  4 Na 3.50, 8 In 3.68
Hg1 0.0000 0.0000 0.0000  4 In 2.80, 2 Na 2.90
In1 0.0000 0.2837 0.7163  1 Hg 2.80, 2 In 3.02
In2 0.5674 0.2837 0.2837  1 Hg 2.80, 2 In 3.02
In3 0.0000 0.7163 0.2837  1 Hg 2.80, 2 In 3.02
In4 0.4326 0.7163 0.7163  1 Hg 2.80, 2 In 3.02

Its magnetic moment is 0.00 μB per formula unit. The crystal system is tetragonal. The electronic total energy is -2.0803 eV/atom. Its formation energy from the elements is -0.011 eV/atom.

=====

no.,calculated density (g/cm³)
1,6.09
2,4.12
3,8.92
4,5.15
5,15.54
6,8.93
7,3.96
8,6.41
9,4.15
10,7.00